No. 1
CuIrRh6 PBE relaxed; crystal system = tetragonal; energy relative to the elements = 25 meV/atom
1.0
3.839 0.000 0.000
0.000 3.839 0.000
0.000 0.000 7.640
Rh Ir Cu
6 1 1
Direct
0.500 0.000 0.749 Rh
0.500 0.000 0.251 Rh
0.500 0.500 0.000 Rh
0.000 0.500 0.749 Rh
0.000 0.500 0.251 Rh
0.500 0.500 0.500 Rh
0.000 0.000 0.500 Ir
0.000 0.000 0.000 Cu

No. 2
LiPt2PbI PBE relaxed; uncorrected formation energy = 484 meV per atom; crystal system = tetragonal
1.0
-0.276 -4.956 -1.174
2.183 -1.542 5.997
-4.803 -0.139 1.713
Li Pt I Pb
1 2 1 1
Direct
0.500 0.500 0.500 Li
0.500 0.000 0.000 Pt
0.000 0.000 0.500 Pt
0.000 0.500 0.000 I
0.000 0.000 0.000 Pb

No. 3
TiMnGa2 PBE relaxed; crystal system = tetragonal; energy relative to the elements = -316 meV/atom
1.0
-0.211 -0.592 3.841
2.161 -3.223 -0.378
3.238 2.112 0.503
Ga Ti Mn
2 1 1
Direct
0.000 0.500 0.000 Ga
0.000 0.000 0.500 Ga
0.500 0.000 0.000 Ti
0.500 0.500 0.500 Mn

No. 4
Sr3Ag2Pb PBE relaxed; crystal system = orthorhombic; energy relative to the elements = -381 meV/atom
1.0
-1.620 -1.864 -3.109
5.155 -1.700 -1.668
-3.397 -6.206 5.491
Ag Sr Pb
2 3 1
Direct
0.000 0.666 0.331 Ag
0.000 0.334 0.669 Ag
0.500 0.830 0.659 Sr
0.500 0.170 0.341 Sr
0.500 0.500 0.000 Sr
0.000 0.000 0.000 Pb

No. 5
Y10Tl3Sn3 PBE relaxed; crystal system = hexagonal; energy relative to the elements = -564 meV/atom
1.0
6.685 0.000 0.000
0.000 7.777 -4.490
0.000 0.000 8.980
Y Sn Tl
10 3 3
Direct
0.500 0.239 0.239 Y
0.000 0.238 0.000 Y
0.000 0.000 0.238 Y
0.247 0.333 0.667 Y
0.247 0.667 0.333 Y
0.500 0.761 0.000 Y
0.753 0.333 0.667 Y
0.000 0.762 0.762 Y
0.753 0.667 0.333 Y
0.500 0.000 0.761 Y
0.500 0.603 0.603 Sn
0.500 0.397 0.000 Sn
0.500 0.000 0.397 Sn
0.000 0.602 0.000 Tl
0.000 0.000 0.602 Tl
0.000 0.398 0.398 Tl

No. 6
RbPtI4 PBE relaxed; uncorrected formation energy = -514 meV per atom; crystal system = monoclinic
1.0
6.608 0.000 0.000
-3.304 8.091 -1.920
0.000 0.178 9.843
I Pt Rb
8 2 2
Direct
0.147 0.827 0.073 I
0.342 0.503 0.133 I
0.853 0.173 0.927 I
0.680 0.827 0.573 I
0.161 0.503 0.633 I
0.839 0.497 0.367 I
0.320 0.173 0.427 I
0.658 0.497 0.867 I
0.500 0.500 0.500 Pt
0.000 0.500 0.000 Pt
0.269 0.000 0.750 Rb
0.731 0.000 0.250 Rb

No. 7
Tc2NiTe PBE relaxed; uncorrected formation energy = 328 meV per atom; crystal system = monoclinic
1.0
4.622 -0.001 -0.083
3.571 2.934 -0.083
0.849 0.304 4.616
Ni Tc Te
1 2 1
Direct
0.250 0.250 0.250 Ni
0.982 0.982 0.042 Tc
0.518 0.518 0.458 Tc
0.750 0.750 0.750 Te

No. 8
TbPm2Er5 PBE relaxed; crystal system = orthorhombic; energy relative to the elements = 20 meV/atom
1.0
5.014 0.000 0.000
0.000 7.098 0.000
0.000 0.000 14.197
Er Pm Tb
10 4 2
Direct
0.000 0.500 0.750 Er
0.000 0.000 0.000 Er
0.000 0.500 0.500 Er
0.500 0.250 0.375 Er
0.500 0.250 0.875 Er
0.000 0.000 0.750 Er
0.500 0.750 0.125 Er
0.500 0.750 0.625 Er
0.000 0.500 0.250 Er
0.000 0.000 0.250 Er
0.500 0.250 0.625 Pm
0.500 0.250 0.125 Pm
0.500 0.750 0.375 Pm
0.500 0.750 0.875 Pm
0.000 0.500 0.000 Tb
0.000 0.000 0.500 Tb

No. 9
ZnSb2Pb PBE relaxed; uncorrected formation energy = 188 meV per atom; crystal system = orthorhombic
1.0
-2.005 1.527 3.376
-4.076 -1.546 -1.721
0.715 -4.750 2.573
Zn Sb Pb
1 2 1
Direct
0.500 0.000 0.500 Zn
0.500 0.500 0.000 Sb
0.000 0.000 0.000 Sb
0.000 0.500 0.500 Pb

No. 10
La2YMn PBE relaxed; crystal system = tetragonal; energy relative to the elements = 284 meV/atom
1.0
-1.710 0.148 -5.873
4.184 -2.531 -3.677
-2.756 -1.849 5.140
Mn La Y
1 2 1
Direct
0.500 0.500 0.000 Mn
0.000 0.000 0.000 La
0.250 0.750 0.500 La
0.750 0.250 0.500 Y

No. 11
LiAl3 PBE relaxed; crystal system = tetragonal; energy relative to the elements = -14 meV/atom
1.0
3.455 0.000 0.000
0.000 3.455 0.000
0.000 0.000 5.633
Al Li
3 1
Direct
0.500 0.500 0.250 Al
0.000 0.000 0.498 Al
0.000 0.000 0.002 Al
0.500 0.500 0.750 Li

No. 12
BaNa2Ru PBE relaxed; crystal system = cubic; energy relative to the elements = 747 meV/atom
1.0
0.776 -0.117 5.317
-3.159 2.898 3.241
-3.564 -2.461 3.182
Na Ba Ru
2 1 1
Direct
0.750 0.750 0.750 Na
0.250 0.250 0.250 Na
0.500 0.500 0.500 Ba
0.000 0.000 0.000 Ru

No. 13
KSc2Fe PBE relaxed; crystal system = monoclinic; energy relative to the elements = 884 meV/atom
1.0
6.269 -0.255 0.005
-2.647 5.689 0.005
0.725 1.087 2.784
Fe K Sc
1 1 2
Direct
0.500 0.000 0.500 Fe
0.000 0.500 0.500 K
0.000 0.000 0.000 Sc
0.500 0.500 0.000 Sc

No. 14
Rb2HgTeI PBE relaxed; uncorrected formation energy = -842 meV per atom; crystal system = tetragonal
1.0
7.045 0.000 0.000
0.000 7.045 0.000
0.000 0.000 5.699
Hg I Rb Te
1 1 2 1
Direct
0.000 0.000 0.500 Hg
0.500 0.500 0.500 I
0.000 0.500 0.000 Rb
0.500 0.000 0.000 Rb
0.000 0.000 0.000 Te

No. 15
TlCuTe2Pd PBE relaxed; uncorrected formation energy = -122 meV per atom; crystal system = orthorhombic
1.0
5.202 0.000 0.000
0.000 5.766 0.000
0.000 -2.883 8.461
Te Pd Cu Tl
4 2 2 2
Direct
0.714 0.880 0.760 Te
0.286 0.120 0.240 Te
0.286 0.380 0.760 Te
0.714 0.620 0.240 Te
0.500 0.750 0.000 Pd
0.500 0.250 0.000 Pd
0.000 0.500 0.000 Cu
0.000 0.000 0.000 Cu
0.782 0.250 0.500 Tl
0.218 0.750 0.500 Tl

No. 16
PmPr2ErTe5 PBE relaxed; uncorrected formation energy = -869 meV per atom; crystal system = tetragonal
1.0
5.502 0.000 0.000
0.000 5.502 0.000
0.000 0.000 11.735
Te Er Pm Pr
5 1 1 2
Direct
0.000 0.000 0.750 Te
0.000 0.500 0.500 Te
0.500 0.500 0.000 Te
0.000 0.000 0.250 Te
0.500 0.000 0.500 Te
0.000 0.000 0.500 Er
0.000 0.000 0.000 Pm
0.500 0.500 0.336 Pr
0.500 0.500 0.664 Pr

No. 17
CaBePO2 PBE relaxed; uncorrected formation energy = 427 meV per atom; crystal system = tetragonal
1.0
-2.563 -2.924 1.300
2.984 -1.583 2.324
-1.657 3.440 4.471
Be O Ca P
1 2 1 1
Direct
0.500 0.500 0.500 Be
0.500 0.000 0.000 O
0.000 0.500 0.000 O
0.000 0.000 0.000 Ca
0.000 0.000 0.500 P

No. 18
Cu3Ni2Au2 PBE relaxed; crystal system = triclinic; energy relative to the elements = 21 meV/atom
1.0
-2.717 1.130 3.552
-0.874 -3.251 -1.587
4.378 -2.724 3.152
Au Cu Ni
2 3 2
Direct
0.847 0.424 0.279 Au
0.153 0.576 0.721 Au
0.420 0.710 0.148 Cu
0.000 0.000 0.000 Cu
0.580 0.290 0.852 Cu
0.708 0.854 0.570 Ni
0.292 0.146 0.430 Ni

No. 19
Th2CCl2 PBE relaxed; uncorrected formation energy = -1167 meV per atom; crystal system = monoclinic
1.0
4.074 0.000 0.000
0.000 7.209 -0.086
-2.037 -1.253 10.190
Th C Cl
4 2 4
Direct
0.677 0.417 0.353 Th
0.175 0.880 0.349 Th
0.825 0.120 0.651 Th
0.323 0.583 0.647 Th
0.792 0.408 0.585 C
0.208 0.592 0.415 C
0.093 0.186 0.185 Cl
0.907 0.814 0.815 Cl
0.417 0.293 0.835 Cl
0.583 0.707 0.165 Cl

No. 20
Pm7DyEr2 PBE relaxed; crystal system = orthorhombic; energy relative to the elements = 652 meV/atom
1.0
5.617 0.000 0.000
0.000 9.338 -0.570
0.000 -4.722 8.076
Pm Er Dy
7 2 1
Direct
0.000 0.216 0.784 Pm
0.500 0.934 0.708 Pm
0.500 0.708 0.934 Pm
0.000 0.784 0.216 Pm
0.500 0.292 0.066 Pm
0.500 0.066 0.292 Pm
0.500 0.500 0.500 Pm
0.500 0.705 0.295 Er
0.500 0.295 0.705 Er
0.000 0.000 0.000 Dy

Number 1: D(E_F) 11.29 states/eV per cell. Number 2: D(E_F) 0.94 states/eV per cell. Number 3: D(E_F) 2.54 states/eV per cell. Number 4: D(E_F) 2.04 states/eV per cell. Number 5: D(E_F) 13.96 states/eV per cell. Number 6: D(E_F) 7.76 states/eV per cell. Number 7: D(E_F) 2.68 states/eV per cell. Number 8: D(E_F) 21.07 states/eV per cell. Number 9: D(E_F) 1.77 states/eV per cell. Number 10: D(E_F) 6.86 states/eV per cell. Number 11: D(E_F) 1.38 states/eV per cell. Number 12: D(E_F) 4.39 states/eV per cell. Number 13: D(E_F) 6.63 states/eV per cell. Number 14: D(E_F) 1.38 states/eV per cell. Number 15: D(E_F) 5.39 states/eV per cell. Number 16: D(E_F) 5.70 states/eV per cell. Number 17: D(E_F) 7.31 states/eV per cell. Number 18: D(E_F) 5.08 states/eV per cell. Number 19: D(E_F) 5.32 states/eV per cell. Number 20: D(E_F) 14.98 states/eV per cell.